Fe3O4F2, relaxed, DFT PBE with a Hubbard U; excess energy over the best structure of this formula in the dataset = 0.033 eV per atom; crystal system = tetragonal; calculated volume = 199.1 Å³ per cell
1.0
4.673 0.000 0.000
0.000 4.673 0.000
0.000 0.000 9.120
Fe O F
6 8 4
direct
0.500 0.500 0.681
0.500 0.500 0.000
0.500 0.500 0.319
0.000 0.000 0.819
0.000 0.000 0.500
0.000 0.000 0.181
0.694 0.306 0.844
0.694 0.306 0.156
0.806 0.806 0.656
0.806 0.806 0.344
0.194 0.194 0.656
0.194 0.194 0.344
0.306 0.694 0.844
0.306 0.694 0.156
0.688 0.312 0.500
0.812 0.812 0.000
0.188 0.188 0.000
0.312 0.688 0.500